Below is MgSiNi2S after structural relaxation, with properties calculated at the PBE level.

Cell: 4.431 4.431 4.752 Å, 90.00 90.00 90.00°
Space group P4/mmm (No. 123)
One atom of each set of equivalent atoms:
Mg 0.000 0.000 0.000 (multiplicity 1)
Si 0.000 0.000 0.500 (multiplicity 1)
Ni 0.000 0.500 0.000 (multiplicity 2)
S 0.500 0.500 0.500 (multiplicity 1)

The energy relative to the elements, uncorrected comes out at 1285.6 meV per atom.